Density functional theory data (PBE) for an optimized crystal structure of AsWCl2.

POSCAR file:
```
AsWCl2
1.0
7.8645 0.0463 -0.0127
6.0242 5.0559 0.0127
-6.6042 -3.4770 2.4795
As W Cl
1 1 2
direct
0.2500 0.7500 0.5000
0.7500 0.2500 0.5000
0.8884 0.8884 0.0000
0.6116 0.6116 0.0000
```

Summary:
Energy above the most stable polymorph in this dataset in kJ/mol of formula units: 86
Uncorrected formation energy in meV per atom: -29
Energy in eV per cell: -21.41
Space group: Immm